Entry 1:
CaTeI2: optimized geometry, GGA-PBE. Values from VASP.

Quantum ESPRESSO input file:
```
&SYSTEM
  ibrav = 0, nat = 8, ntyp = 3
/
ATOMIC_SPECIES
I 126.90 I.upf
Ca 40.08 Ca.upf
Te 127.60 Te.upf
CELL_PARAMETERS angstrom
-8.660 -6.877 2.140
6.012 -8.746 -3.773
-0.238 -8.293 2.031
ATOMIC_POSITIONS angstrom
I -3.321 -6.353 1.028
Ca 2.225 -12.425 -1.280
I 1.215 -9.511 -1.237
Te -5.111 -11.490 1.677
I -0.200 -13.492 0.300
Te 0.000 0.000 0.000
I -3.468 -18.475 0.704
Ca -1.324 -7.811 -0.817
```

Values from the calculation:
Energy above the lowest structure with this stoichiometry   0.000 eV per formula unit
Raw total energy   -2.731 eV per atom
Volume   48.93 Å³ per atom

***

Entry 2:
CaTeI6: optimized geometry, GGA-PBE. Values from VASP.

Quantum ESPRESSO input file:
```
&SYSTEM
  ibrav = 0, nat = 8, ntyp = 3
/
ATOMIC_SPECIES
I 126.90 I.upf
Te 127.60 Te.upf
Ca 40.08 Ca.upf
CELL_PARAMETERS angstrom
-6.268 1.496 4.078
-6.848 -0.093 -3.362
-5.006 -6.165 1.705
ATOMIC_POSITIONS angstrom
I -6.515 -0.663 2.020
I -11.092 -0.177 2.253
Te 0.000 0.000 0.000
I -9.092 -1.253 -1.758
Ca -9.061 -2.381 1.211
I -11.607 -4.099 0.401
I -7.029 -4.585 0.168
I -9.029 -3.509 4.179
```

Values from the calculation:
Raw total energy   -2.395 eV per atom
Volume   42.98 Å³ per atom

***

Entry 3:
CaTeI: optimized geometry, GGA-PBE. Values from VASP.

Quantum ESPRESSO input file:
```
&SYSTEM
  ibrav = 0, nat = 6, ntyp = 3
/
ATOMIC_SPECIES
Ca 40.08 Ca.upf
Te 127.60 Te.upf
I 126.90 I.upf
CELL_PARAMETERS angstrom
-2.992 1.786 -2.636
-3.423 -6.296 -0.544
-6.935 0.411 4.578
ATOMIC_POSITIONS angstrom
Ca -6.144 -1.857 -1.591
Ca -7.207 -2.242 2.990
Te -10.243 -3.053 2.246
I -7.099 0.054 0.797
Te -3.108 -1.047 -0.848
I -6.252 -4.153 0.602
```

Values from the calculation:
Energy above the lowest structure with this stoichiometry   0.025 eV per formula unit
Raw total energy   -3.506 eV per atom
Volume   39.85 Å³ per atom

***

Entry 4:
CaTeI: optimized geometry, GGA-PBE. Values from VASP.

Quantum ESPRESSO input file:
```
&SYSTEM
  ibrav = 0, nat = 12, ntyp = 3
/
ATOMIC_SPECIES
I 126.90 I.upf
Te 127.60 Te.upf
Ca 40.08 Ca.upf
CELL_PARAMETERS angstrom
-4.313 -0.741 -1.084
-1.660 -8.494 12.412
2.503 5.817 4.315
ATOMIC_POSITIONS angstrom
I 0.774 0.464 5.730
I 0.069 -3.141 10.997
Te -1.991 -0.252 8.785
Te 0.601 3.990 2.811
Te -1.480 -3.166 6.859
I -1.308 -6.691 9.778
Te -2.412 1.087 0.421
Ca -2.758 -3.446 3.953
Ca -2.336 -4.785 12.316
Ca -3.215 -5.788 7.375
I -0.352 -1.802 2.634
Ca -1.134 1.367 3.327
```

Values from the calculation:
Energy above the lowest structure with this stoichiometry   0.000 eV per formula unit
Raw total energy   -3.514 eV per atom
Volume   35.72 Å³ per atom

***

Entry 5:
Ca2Te2I: optimized geometry, GGA-PBE. Values from VASP.

Quantum ESPRESSO input file:
```
&SYSTEM
  ibrav = 0, nat = 10, ntyp = 3
/
ATOMIC_SPECIES
Ca 40.08 Ca.upf
Te 127.60 Te.upf
I 126.90 I.upf
CELL_PARAMETERS angstrom
9.092 0.000 0.000
0.000 9.092 0.000
0.000 0.000 4.019
ATOMIC_POSITIONS angstrom
Ca 3.118 1.427 2.010
Te 1.300 3.246 0.000
I 4.546 4.546 0.000
Ca 5.973 7.664 2.010
Ca 7.664 3.118 2.010
Ca 1.427 5.973 2.010
I 0.000 0.000 0.000
Te 3.246 7.791 0.000
Te 7.791 5.846 0.000
Te 5.846 1.300 0.000
```

Values from the calculation:
Energy above the lowest structure with this stoichiometry   0.770 eV per formula unit
Raw total energy   -3.420 eV per atom
Volume   33.22 Å³ per atom

***

Entry 6:
CaTe2I2: optimized geometry, GGA-PBE. Values from VASP.

Quantum ESPRESSO input file:
```
&SYSTEM
  ibrav = 0, nat = 5, ntyp = 3
/
ATOMIC_SPECIES
I 126.90 I.upf
Te 127.60 Te.upf
Ca 40.08 Ca.upf
CELL_PARAMETERS angstrom
-1.078 1.880 -3.552
-1.578 -3.580 -1.416
-12.658 2.155 2.547
ATOMIC_POSITIONS angstrom
I -2.968 -0.415 -1.755
Te -7.782 -1.138 -0.676
I -12.346 0.870 -0.665
Ca 0.000 0.000 0.000
Te -7.532 1.592 -1.744
```

Values from the calculation:
Raw total energy   -3.027 eV per atom
Volume   44.16 Å³ per atom

***

Entry 7:
Ca2Te2I: optimized geometry, GGA-PBE. Values from VASP.

Quantum ESPRESSO input file:
```
&SYSTEM
  ibrav = 0, nat = 10, ntyp = 3
/
ATOMIC_SPECIES
Te 127.60 Te.upf
Ca 40.08 Ca.upf
I 126.90 I.upf
CELL_PARAMETERS angstrom
-1.653 -7.917 3.432
8.627 -1.454 0.802
-0.073 1.660 3.795
ATOMIC_POSITIONS angstrom
Te 5.262 -1.221 2.897
Te 6.311 -5.495 4.787
Ca 2.678 -1.755 0.819
Ca 0.283 -5.449 2.389
I 0.000 0.000 0.000
Te 0.589 -2.215 3.242
Te 1.638 -6.490 5.132
Ca 4.295 -7.616 3.415
I 3.487 -4.685 2.117
Ca 6.691 -3.922 1.845
```

Values from the calculation:
Energy above the lowest structure with this stoichiometry   0.000 eV per formula unit
Raw total energy   -3.574 eV per atom
Volume   31.98 Å³ per atom

***

Entry 8:
CaTeI: optimized geometry, GGA-PBE. Values from VASP.

Quantum ESPRESSO input file:
```
&SYSTEM
  ibrav = 0, nat = 6, ntyp = 3
/
ATOMIC_SPECIES
I 126.90 I.upf
Ca 40.08 Ca.upf
Te 127.60 Te.upf
CELL_PARAMETERS angstrom
-2.766 3.255 0.844
0.660 -2.882 5.903
6.321 5.339 -0.466
ATOMIC_POSITIONS angstrom
I 0.160 3.929 3.334
I -0.578 0.337 5.527
Ca 3.668 3.552 3.760
Ca -0.106 0.967 1.416
Te 3.314 6.550 2.457
Te 4.792 0.798 5.530
```

Values from the calculation:
Energy above the lowest structure with this stoichiometry   0.207 eV per formula unit
Raw total energy   -3.445 eV per atom
Volume   37.37 Å³ per atom

***

Ordered calculated density results: 3576; 4487; 4092; 4565; 4621; 4130; 4801; 4363; unit kg/m3.